# 1
{"formula": "Li5CoN2", "functional": "PBE", "state": "relaxed", "lattice": [[-0.428, 3.333, -1.876], [0.887, -3.202, -1.943], [-12.465, -2.493, -1.585]], "species": ["N", "N", "N", "N", "Li", "Li", "Li", "Li", "Li", "Li", "Li", "Li", "Li", "Li", "Co", "Co"], "fractional_positions": [[0.667, 0.333, 0.610], [0.333, 0.667, 0.110], [0.667, 0.333, 0.890], [0.333, 0.667, 0.390], [0.667, 0.333, 0.250], [0.333, 0.667, 0.953], [0.000, 0.000, 0.866], [0.000, 0.000, 0.366], [0.667, 0.333, 0.453], [0.000, 0.000, 0.634], [0.667, 0.333, 0.047], [0.000, 0.000, 0.134], [0.333, 0.667, 0.750], [0.333, 0.667, 0.547], [0.333, 0.667, 0.250], [0.667, 0.333, 0.750]], "m_tot_mub_per_fu": 2.0, "raw_formation_energy_mev_per_atom": -273.6}



# 2
{"formula": "Cu5Si7", "functional": "PBE", "state": "relaxed", "lattice": [[6.431, -0.064, 0.000], [-4.220, 4.854, 0.000], [-1.106, -2.395, 5.866]], "species": ["Si", "Si", "Si", "Si", "Si", "Si", "Si", "Cu", "Cu", "Cu", "Cu", "Cu"], "fractional_positions": [[0.957, 0.711, 0.247], [0.979, 0.479, 0.500], [0.428, 0.428, 0.000], [0.464, 0.711, 0.753], [0.711, 0.957, 0.247], [0.711, 0.464, 0.753], [0.479, 0.979, 0.500], [0.226, 0.226, 0.463], [0.763, 0.763, 0.537], [0.763, 0.226, 0.000], [0.226, 0.763, 0.000], [0.992, 0.992, 0.000]], "m_tot_mub_per_fu": 0.0, "raw_formation_energy_mev_per_atom": 286.9}



# 3
{"formula": "Pm2Dy6Pu", "functional": "PBE", "state": "relaxed", "lattice": [[-2.332, -5.878, 2.026], [3.556, -5.244, -7.912], [4.884, -0.035, 8.820]], "species": ["Dy", "Dy", "Dy", "Dy", "Dy", "Dy", "Dy", "Dy", "Dy", "Dy", "Dy", "Dy", "Pm", "Pm", "Pm", "Pm", "Pu", "Pu"], "fractional_positions": [[0.166, 0.044, 0.645], [0.657, 0.988, 0.704], [0.839, 0.294, 0.008], [0.161, 0.706, 0.992], [0.005, 0.618, 0.296], [0.517, 0.293, 0.622], [0.483, 0.707, 0.378], [0.343, 0.012, 0.296], [0.331, 0.356, 0.961], [0.669, 0.644, 0.039], [0.834, 0.956, 0.355], [0.995, 0.382, 0.704], [0.913, 0.287, 0.343], [0.589, 0.651, 0.704], [0.087, 0.713, 0.657], [0.411, 0.349, 0.296], [0.250, 0.026, 0.975], [0.750, 0.974, 0.025]], "m_tot_mub_per_fu": 6.1, "ef_ev_per_atom": 0.1022}



# 4
{"formula": "NdHoZnOs", "functional": "PBE", "state": "relaxed", "lattice": [[4.985, 0.000, 0.000], [2.492, 4.317, 0.000], [2.492, 1.439, 4.070]], "species": ["Os", "Zn", "Ho", "Nd"], "fractional_positions": [[0.500, 0.500, 0.500], [0.000, 0.000, 0.000], [0.250, 0.250, 0.250], [0.750, 0.750, 0.750]], "m_tot_mub_per_fu": 0.0, "ef_ev_per_atom": -0.1860}



# 5
{"formula": "AlCdSi4", "functional": "PBE", "state": "relaxed", "lattice": [[5.068, -1.297, 0.218], [3.064, 2.029, 3.729], [1.760, -3.039, 3.883]], "species": ["Si", "Si", "Si", "Si", "Al", "Cd"], "fractional_positions": [[0.375, 0.375, 0.874], [0.375, 0.874, 0.375], [0.874, 0.375, 0.375], [0.375, 0.375, 0.375], [0.750, 0.750, 0.750], [0.000, 0.000, 0.000]], "m_tot_mub_per_fu": 0.0, "raw_formation_energy_mev_per_atom": 480.7}



# 6
{"formula": "YTiTe2", "functional": "PBE", "state": "relaxed", "lattice": [[5.189, -2.884, 7.797], [7.743, -3.302, 5.018], [7.223, 0.100, 6.623]], "species": ["Te", "Te", "Y", "Ti"], "fractional_positions": [[0.893, 0.893, 0.893], [0.107, 0.107, 0.107], [0.000, 0.000, 0.000], [0.500, 0.500, 0.500]], "m_tot_mub_per_fu": 0.8, "de_polymorph_mev_per_atom": 227.0, "raw_formation_energy_mev_per_atom": -516.6}



Please write out number 3 again, unchanged.
{"formula": "Pm2Dy6Pu", "functional": "PBE", "state": "relaxed", "lattice": [[-2.332, -5.878, 2.026], [3.556, -5.244, -7.912], [4.884, -0.035, 8.820]], "species": ["Dy", "Dy", "Dy", "Dy", "Dy", "Dy", "Dy", "Dy", "Dy", "Dy", "Dy", "Dy", "Pm", "Pm", "Pm", "Pm", "Pu", "Pu"], "fractional_positions": [[0.166, 0.044, 0.645], [0.657, 0.988, 0.704], [0.839, 0.294, 0.008], [0.161, 0.706, 0.992], [0.005, 0.618, 0.296], [0.517, 0.293, 0.622], [0.483, 0.707, 0.378], [0.343, 0.012, 0.296], [0.331, 0.356, 0.961], [0.669, 0.644, 0.039], [0.834, 0.956, 0.355], [0.995, 0.382, 0.704], [0.913, 0.287, 0.343], [0.589, 0.651, 0.704], [0.087, 0.713, 0.657], [0.411, 0.349, 0.296], [0.250, 0.026, 0.975], [0.750, 0.974, 0.025]], "m_tot_mub_per_fu": 6.1, "ef_ev_per_atom": 0.1022}



What did the first record say?
{"formula": "Li5CoN2", "functional": "PBE", "state": "relaxed", "lattice": [[-0.428, 3.333, -1.876], [0.887, -3.202, -1.943], [-12.465, -2.493, -1.585]], "species": ["N", "N", "N", "N", "Li", "Li", "Li", "Li", "Li", "Li", "Li", "Li", "Li", "Li", "Co", "Co"], "fractional_positions": [[0.667, 0.333, 0.610], [0.333, 0.667, 0.110], [0.667, 0.333, 0.890], [0.333, 0.667, 0.390], [0.667, 0.333, 0.250], [0.333, 0.667, 0.953], [0.000, 0.000, 0.866], [0.000, 0.000, 0.366], [0.667, 0.333, 0.453], [0.000, 0.000, 0.634], [0.667, 0.333, 0.047], [0.000, 0.000, 0.134], [0.333, 0.667, 0.750], [0.333, 0.667, 0.547], [0.333, 0.667, 0.250], [0.667, 0.333, 0.750]], "m_tot_mub_per_fu": 2.0, "raw_formation_energy_mev_per_atom": -273.6}



What did the third record say?
{"formula": "Pm2Dy6Pu", "functional": "PBE", "state": "relaxed", "lattice": [[-2.332, -5.878, 2.026], [3.556, -5.244, -7.912], [4.884, -0.035, 8.820]], "species": ["Dy", "Dy", "Dy", "Dy", "Dy", "Dy", "Dy", "Dy", "Dy", "Dy", "Dy", "Dy", "Pm", "Pm", "Pm", "Pm", "Pu", "Pu"], "fractional_positions": [[0.166, 0.044, 0.645], [0.657, 0.988, 0.704], [0.839, 0.294, 0.008], [0.161, 0.706, 0.992], [0.005, 0.618, 0.296], [0.517, 0.293, 0.622], [0.483, 0.707, 0.378], [0.343, 0.012, 0.296], [0.331, 0.356, 0.961], [0.669, 0.644, 0.039], [0.834, 0.956, 0.355], [0.995, 0.382, 0.704], [0.913, 0.287, 0.343], [0.589, 0.651, 0.704], [0.087, 0.713, 0.657], [0.411, 0.349, 0.296], [0.250, 0.026, 0.975], [0.750, 0.974, 0.025]], "m_tot_mub_per_fu": 6.1, "ef_ev_per_atom": 0.1022}